# SrCd3Rh

A relaxed SrCd3Rh crystal (PBE-GGA, Alexandria).

Results
ΔE to the lowest computed polymorph ... 0 meV/atom
Energy of formation ... -0.25 eV per atom
SG ... P2_1/m (11)
Crystal system ... monoclinic
Volume ... 242.5 Å³/cell
Final energy ... -2.607 eV per atom

Cell and atoms, written as extended XYZ:
```
10
Lattice="5.768 0.000 0.000 0.000 6.161 0.000 -2.783 0.000 6.823" Properties=species:S:1:pos:R:3 pbc="T T T"
Sr 0.776 1.540 0.859
Sr 2.210 4.621 5.964
Cd -0.619 0.028 4.726
Cd -0.619 3.052 4.726
Cd 0.737 4.621 2.504
Cd 2.248 1.540 4.319
Cd 3.604 3.109 2.098
Cd 3.604 6.133 2.098
Rh 2.178 4.621 0.206
Rh 0.807 1.540 6.617
```

---

# Si2Sn2B

A relaxed Si2Sn2B crystal (PBE-GGA, Alexandria).

Results
ΔE to the lowest computed polymorph ... 0 meV/atom
SG ... P4/mbm (127)
Crystal system ... tetragonal
Volume ... 187.4 Å³/cell
Final energy ... -4.608 eV per atom

Cell and atoms, written as extended XYZ:
```
10
Lattice="5.774 0.000 0.000 0.000 5.774 0.000 0.000 0.000 5.623" Properties=species:S:1:pos:R:3 pbc="T T T"
Si 0.888 1.999 0.000
Si 1.999 4.886 0.000
Si 3.775 0.888 0.000
Si 4.886 3.775 0.000
Sn 1.160 1.727 2.811
Sn 1.727 4.614 2.811
Sn 4.047 1.160 2.811
Sn 4.614 4.047 2.811
B 0.000 0.000 0.000
B 2.887 2.887 0.000
```

---

# Mg2AsPb

A relaxed Mg2AsPb crystal (PBE-GGA, Alexandria).

Results
ΔE to the lowest computed polymorph ... 120 meV/atom
Energy of formation ... -0.10 eV per atom
SG ... P4/mmm (123)
Crystal system ... tetragonal
Volume ... 91.8 Å³/cell
Final energy ... -2.990 eV per atom

Cell and atoms, written as extended XYZ:
```
4
Lattice="4.743 0.000 0.000 0.000 4.743 0.000 0.000 0.000 4.082" Properties=species:S:1:pos:R:3 pbc="T T T"
Mg 0.000 2.371 0.000
Mg 2.371 0.000 0.000
As 0.000 0.000 2.041
Pb 2.371 2.371 2.041
```

---

# BeFePCl2

A relaxed BeFePCl2 crystal (PBE-GGA, Alexandria).

Results
ΔE to the lowest computed polymorph ... 0 meV/atom
SG ... P4/mmm (123)
Crystal system ... tetragonal
Volume ... 103.9 Å³/cell
Final energy ... -3.918 eV per atom

Cell and atoms, written as extended XYZ:
```
5
Lattice="4.018 0.000 0.000 0.000 4.018 0.000 0.000 0.000 6.437" Properties=species:S:1:pos:R:3 pbc="T T T"
Be 0.000 0.000 0.000
Fe 2.009 2.009 3.218
P 0.000 0.000 3.218
Cl 0.000 2.009 0.000
Cl 2.009 0.000 0.000
```

---

# MnSeI

A relaxed MnSeI crystal (PBE-GGA, Alexandria).

Results
SG ... P1 (1)
Crystal system ... triclinic
Volume ... 197.6 Å³/cell
Final energy ... -4.975 eV per atom

Cell and atoms, written as extended XYZ:
```
6
Lattice="3.666 0.000 0.000 1.815 6.831 0.000 1.817 0.218 7.893" Properties=species:S:1:pos:R:3 pbc="T T T"
Mn 0.000 0.000 0.000
Mn 1.833 0.525 2.031
Se 3.650 1.822 7.859
Se 5.480 5.932 2.261
I 1.832 2.238 3.864
I 5.464 5.420 6.678
```

---

# TaInOF2

A relaxed TaInOF2 crystal (PBE-GGA, Alexandria).

Results
ΔE to the lowest computed polymorph ... 0 meV/atom
SG ... P4/mmm (123)
Crystal system ... tetragonal
Volume ... 81.7 Å³/cell
Final energy ... -6.444 eV per atom

Cell and atoms, written as extended XYZ:
```
5
Lattice="4.504 0.000 0.000 0.000 4.504 0.000 0.000 0.000 4.027" Properties=species:S:1:pos:R:3 pbc="T T T"
Ta 0.000 0.000 0.000
In 2.252 2.252 2.014
O 0.000 0.000 2.014
F 0.000 2.252 0.000
F 2.252 0.000 0.000
```

---

# U2CoSi3Ir4

A relaxed U2CoSi3Ir4 crystal (PBE-GGA, Alexandria).

Results
SG ... P-4m2 (115)
Crystal system ... tetragonal
Volume ... 165.1 Å³/cell
Final energy ... -8.793 eV per atom

Cell and atoms, written as extended XYZ:
```
10
Lattice="4.030 0.000 0.000 0.000 4.030 0.000 0.000 0.000 10.170" Properties=species:S:1:pos:R:3 pbc="T T T"
U 0.000 2.015 2.475
U 2.015 0.000 7.695
Co 2.015 2.015 0.000
Si 0.000 0.000 0.000
Si 0.000 2.015 6.409
Si 2.015 0.000 3.761
Ir 0.000 0.000 5.085
Ir 0.000 2.015 8.762
Ir 2.015 0.000 1.408
Ir 2.015 2.015 5.085
```

---

# Ac6SiSn

A relaxed Ac6SiSn crystal (PBE-GGA, Alexandria).

Results
SG ... C2/m (12)
Crystal system ... monoclinic
Volume ... 349.8 Å³/cell
Final energy ... -4.370 eV per atom

Cell and atoms, written as extended XYZ:
```
8
Lattice="4.013 -6.312 0.000 4.013 6.312 0.000 -2.696 0.000 6.903" Properties=species:S:1:pos:R:3 pbc="T T T"
Ac 0.982 2.305 1.711
Ac -0.102 0.000 5.351
Ac 0.982 -2.305 1.711
Ac 4.349 2.305 5.192
Ac 5.434 0.000 1.552
Ac 4.349 -2.305 5.192
Si 0.000 0.000 0.000
Sn 2.666 0.000 3.452
```

---

# YFeRe2

A relaxed YFeRe2 crystal (PBE-GGA, Alexandria).

Results
ΔE to the lowest computed polymorph ... 372 meV/atom
Energy of formation ... 0.55 eV per atom
SG ... R-3m (166)
Crystal system ... trigonal
Volume ... 65.2 Å³/cell
Final energy ... -9.406 eV per atom

Cell and atoms, written as extended XYZ:
```
4
Lattice="1.406 0.812 9.527 -1.406 0.812 9.527 0.000 -1.623 9.527" Properties=species:S:1:pos:R:3 pbc="T T T"
Y 0.000 0.000 0.000
Fe 0.000 0.000 14.291
Re 0.000 0.000 6.793
Re 0.000 0.000 21.789
```

---

# TlRe2Sb

A relaxed TlRe2Sb crystal (PBE-GGA, Alexandria).

Results
ΔE to the lowest computed polymorph ... 757 meV/atom
SG ... I-4m2 (119)
Crystal system ... tetragonal
Volume ... 73.9 Å³/cell
Final energy ... -6.708 eV per atom

Cell and atoms, written as extended XYZ:
```
4
Lattice="-2.093 2.093 4.218 2.093 -2.093 4.218 2.093 2.093 -4.218" Properties=species:S:1:pos:R:3 pbc="T T T"
Tl 0.000 0.000 0.000
Re 2.093 0.000 2.109
Re 0.000 0.000 4.218
Sb 0.000 2.093 2.109
```

---

# LaLuCdBi

A relaxed LaLuCdBi crystal (PBE-GGA, Alexandria).

Results
Energy of formation ... -0.43 eV per atom
SG ... F-43m (216)
Crystal system ... cubic
Volume ... 116.6 Å³/cell
Final energy ... -3.991 eV per atom

Cell and atoms, written as extended XYZ:
```
4
Lattice="0.000 3.878 3.878 3.878 0.000 3.878 3.878 3.878 0.000" Properties=species:S:1:pos:R:3 pbc="T T T"
La 0.000 0.000 0.000
Lu 3.878 3.878 3.878
Cd 1.939 1.939 1.939
Bi 5.817 5.817 5.817
```

---

# Mn5Be2Re2Si

A relaxed Mn5Be2Re2Si crystal (PBE-GGA, Alexandria).

Results
SG ... P4/mbm (127)
Crystal system ... tetragonal
Volume ... 219.3 Å³/cell
Final energy ... -8.451 eV per atom

Cell and atoms, written as extended XYZ:
```
20
Lattice="8.718 0.000 0.000 0.000 8.718 0.000 0.000 0.000 2.885" Properties=species:S:1:pos:R:3 pbc="T T T"
Mn 0.000 4.359 0.000
Mn 0.541 1.789 0.000
Mn 1.789 8.177 0.000
Mn 2.570 3.818 0.000
Mn 3.818 6.148 0.000
Mn 4.359 0.000 0.000
Mn 4.900 2.570 0.000
Mn 6.148 4.900 0.000
Mn 6.929 0.541 0.000
Mn 8.177 6.929 0.000
Be 1.098 3.261 1.443
Be 3.261 7.620 1.443
Be 5.457 1.098 1.443
Be 7.620 5.457 1.443
Re 1.519 5.879 1.443
Re 2.840 1.519 1.443
Re 5.879 7.199 1.443
Re 7.199 2.840 1.443
Si 0.000 0.000 1.443
Si 4.359 4.359 1.443
```